Rb9Au3BrO2, optimized geometry, DFT PBE-GGA; ΔE_f (raw) = -0.71 eV per atom; ρ = 3.87 g/cm³; final energy = -2.718 eV/atom; DOS(E_F) = 3.8 states/eV/f.u.
1.0
8.008 0.000 0.000
-4.004 6.935 0.000
0.000 0.000 11.364
Rb Br Au O
9 1 3 2
Direct
0.661 0.831 0.277
0.831 0.169 0.723
0.500 0.000 0.000
0.339 0.169 0.723
0.831 0.661 0.723
0.000 0.500 0.000
0.169 0.831 0.277
0.169 0.339 0.277
0.500 0.500 0.000
0.000 0.000 0.500
0.000 0.000 0.000
0.333 0.667 0.744
0.667 0.333 0.256
0.667 0.333 0.843
0.333 0.667 0.157